(1)
This record from Alexandria describes an optimized crystal structure of Hg3SbPb3. The functional is PBE.

Output
The total energy is -0.063 Ha/atom. As for the uncorrected formation energy: 0.583 eV/atom. The calculation puts the energy above the most stable polymorph in this dataset at 520 meV/atom.

```
data_Hg3SbPb3
_space_group_name_H-M_alt 'P 1'
_space_group_IT_number 1
_cell_length_a 8.280
_cell_length_b 8.280
_cell_length_c 8.280
_cell_angle_alpha 90.00
_cell_angle_beta 90.00
_cell_angle_gamma 90.00
loop_
_space_group_symop_operation_xyz
'x,y,z'
loop_
_atom_site_label
_atom_site_fract_x
_atom_site_fract_y
_atom_site_fract_z
Hg1 0.000 0.250 0.500
Hg2 0.000 0.750 0.500
Hg3 0.250 0.500 0.000
Hg4 0.500 0.000 0.250
Hg5 0.500 0.000 0.750
Hg6 0.750 0.500 0.000
Sb1 0.000 0.000 0.000
Sb2 0.500 0.500 0.500
Pb1 0.000 0.500 0.250
Pb2 0.000 0.500 0.750
Pb3 0.250 0.000 0.500
Pb4 0.500 0.250 0.000
Pb5 0.500 0.750 0.000
Pb6 0.750 0.000 0.500
```

=====

(2)
This record from Alexandria describes an optimized crystal structure of Hg2SbPb. The functional is PBE.

Output
The total energy is -0.075 Ha/atom. As for the uncorrected formation energy: 0.071 eV/atom.

```
data_Hg2SbPb
_space_group_name_H-M_alt 'P 1'
_space_group_IT_number 1
_cell_length_a 3.409
_cell_length_b 5.107
_cell_length_c 6.516
_cell_angle_alpha 90.00
_cell_angle_beta 90.00
_cell_angle_gamma 90.00
loop_
_space_group_symop_operation_xyz
'x,y,z'
loop_
_atom_site_label
_atom_site_fract_x
_atom_site_fract_y
_atom_site_fract_z
Hg1 0.000 0.000 0.000
Hg2 0.500 0.500 0.191
Sb1 0.500 0.500 0.701
Pb1 0.000 0.000 0.497
```

=====

(3)
This record from Alexandria describes an optimized crystal structure of HgSbPb4. The functional is PBE.

Output
The total energy is -0.114 Ha/atom. As for the uncorrected formation energy: 0.095 eV/atom. The calculation puts the energy above the most stable polymorph in this dataset at 44 meV/atom.

```
data_HgSbPb4
_space_group_name_H-M_alt 'P 1'
_space_group_IT_number 1
_cell_length_a 11.368
_cell_length_b 11.368
_cell_length_c 6.560
_cell_angle_alpha 90.00
_cell_angle_beta 90.00
_cell_angle_gamma 151.02
loop_
_space_group_symop_operation_xyz
'x,y,z'
loop_
_atom_site_label
_atom_site_fract_x
_atom_site_fract_y
_atom_site_fract_z
Hg1 0.130 0.870 0.500
Hg2 0.870 0.130 0.000
Sb1 0.424 0.576 0.473
Sb2 0.576 0.424 0.973
Pb1 0.143 0.857 0.999
Pb2 0.286 0.714 0.734
Pb3 0.291 0.709 0.229
Pb4 0.433 0.567 0.964
Pb5 0.567 0.433 0.464
Pb6 0.709 0.291 0.729
Pb7 0.714 0.286 0.234
Pb8 0.857 0.143 0.499
```

=====

(4)
This record from Alexandria describes an optimized crystal structure of Hg4SbPb8. The functional is PBE.

Output
The total energy is -0.097 Ha/atom. As for the uncorrected formation energy: 0.042 eV/atom.

```
data_Hg4SbPb8
_space_group_name_H-M_alt 'P 1'
_space_group_IT_number 1
_cell_length_a 5.991
_cell_length_b 3.479
_cell_length_c 18.607
_cell_angle_alpha 90.00
_cell_angle_beta 93.83
_cell_angle_gamma 90.00
loop_
_space_group_symop_operation_xyz
'x,y,z'
loop_
_atom_site_label
_atom_site_fract_x
_atom_site_fract_y
_atom_site_fract_z
Hg1 0.000 0.000 0.000
Hg2 0.005 0.500 0.441
Hg3 0.124 0.500 0.863
Hg4 0.899 0.000 0.572
Sb1 0.000 0.000 0.301
Pb1 0.268 0.000 0.708
Pb2 0.422 0.500 0.556
Pb3 0.476 0.500 0.029
Pb4 0.486 0.000 0.202
Pb5 0.512 0.000 0.389
Pb6 0.610 0.000 0.873
Pb7 0.772 0.500 0.721
Pb8 0.979 0.500 0.151
```

=====

(5)
This record from Alexandria describes an optimized crystal structure of Hg4SbPb. The functional is PBE.

Output
The total energy is -0.048 Ha/atom. As for the uncorrected formation energy: 0.194 eV/atom. The calculation puts the energy above the most stable polymorph in this dataset at 127 meV/atom.

```
data_Hg4SbPb
_space_group_name_H-M_alt 'P 1'
_space_group_IT_number 1
_cell_length_a 6.117
_cell_length_b 6.117
_cell_length_c 6.117
_cell_angle_alpha 60.00
_cell_angle_beta 60.00
_cell_angle_gamma 60.00
loop_
_space_group_symop_operation_xyz
'x,y,z'
loop_
_atom_site_label
_atom_site_fract_x
_atom_site_fract_y
_atom_site_fract_z
Hg1 0.125 0.125 0.125
Hg2 0.125 0.125 0.625
Hg3 0.125 0.625 0.125
Hg4 0.625 0.125 0.125
Sb1 0.500 0.500 0.500
Pb1 0.750 0.750 0.750
```

=====

(6)
This record from Alexandria describes an optimized crystal structure of Hg4SbPb15. The functional is PBE.

Output
The total energy is -0.111 Ha/atom. As for the uncorrected formation energy: 0.014 eV/atom.

```
data_Hg4SbPb15
_space_group_name_H-M_alt 'P 1'
_space_group_IT_number 1
_cell_length_a 4.894
_cell_length_b 4.894
_cell_length_c 25.100
_cell_angle_alpha 90.00
_cell_angle_beta 90.00
_cell_angle_gamma 90.00
loop_
_space_group_symop_operation_xyz
'x,y,z'
loop_
_atom_site_label
_atom_site_fract_x
_atom_site_fract_y
_atom_site_fract_z
Hg1 0.000 0.000 0.099
Hg2 0.000 0.000 0.298
Hg3 0.000 0.000 0.702
Hg4 0.000 0.000 0.901
Sb1 0.000 0.000 0.500
Pb1 0.000 0.500 0.000
Pb2 0.000 0.500 0.198
Pb3 0.000 0.500 0.396
Pb4 0.000 0.500 0.604
Pb5 0.000 0.500 0.802
Pb6 0.500 0.000 0.000
Pb7 0.500 0.000 0.198
Pb8 0.500 0.000 0.396
Pb9 0.500 0.000 0.604
Pb10 0.500 0.000 0.802
Pb11 0.500 0.500 0.099
Pb12 0.500 0.500 0.299
Pb13 0.500 0.500 0.500
Pb14 0.500 0.500 0.701
Pb15 0.500 0.500 0.901
```

=====

(7)
This record from Alexandria describes an optimized crystal structure of Hg2SbPb. The functional is PBE.

Output
The total energy is -0.076 Ha/atom. As for the uncorrected formation energy: 0.048 eV/atom.

```
data_Hg2SbPb
_space_group_name_H-M_alt 'P 1'
_space_group_IT_number 1
_cell_length_a 3.188
_cell_length_b 6.188
_cell_length_c 6.066
_cell_angle_alpha 90.00
_cell_angle_beta 96.73
_cell_angle_gamma 90.00
loop_
_space_group_symop_operation_xyz
'x,y,z'
loop_
_atom_site_label
_atom_site_fract_x
_atom_site_fract_y
_atom_site_fract_z
Hg1 0.000 0.000 0.000
Hg2 0.492 0.500 0.980
Sb1 0.988 0.000 0.498
Pb1 0.724 0.500 0.487
```

=====

(8)
This record from Alexandria describes an optimized crystal structure of Hg2Sb5Pb5. The functional is PBE.

Output
The total energy is -0.119 Ha/atom. As for the uncorrected formation energy: 0.075 eV/atom.

```
data_Hg2Sb5Pb5
_space_group_name_H-M_alt 'P 1'
_space_group_IT_number 1
_cell_length_a 8.968
_cell_length_b 8.968
_cell_length_c 10.966
_cell_angle_alpha 125.04
_cell_angle_beta 125.04
_cell_angle_gamma 30.84
loop_
_space_group_symop_operation_xyz
'x,y,z'
loop_
_atom_site_label
_atom_site_fract_x
_atom_site_fract_y
_atom_site_fract_z
Hg1 0.150 0.150 0.023
Hg2 0.850 0.850 0.977
Sb1 0.000 0.000 0.500
Sb2 0.071 0.071 0.279
Sb3 0.230 0.230 0.783
Sb4 0.770 0.770 0.217
Sb5 0.929 0.929 0.721
Pb1 0.305 0.305 0.452
Pb2 0.417 0.417 0.240
Pb3 0.500 0.500 0.000
Pb4 0.583 0.583 0.760
Pb5 0.695 0.695 0.548
```